A geometry-optimized Tl4CrAs structure. Source: Alexandria via LeMat-Bulk, functional PBEsol.

Summary:
As for the total energy: -3.618 eV per atom. The crystal system is cubic.

a b c (Å): 8.648 8.648 8.648
angles (deg): 90.00 90.00 90.00
Space group F-43m (No. 216)
Unique sites:
Tl  0.125  0.125  0.125 (multiplicity 16)
Cr  0.250  0.250  0.750 (multiplicity 4)
As  0.000  0.000  0.500 (multiplicity 4)



A geometry-optimized CrAsW2 structure. Source: Alexandria via LeMat-Bulk, functional PBEsol.

Summary:
As for the total energy: -10.351 eV per atom. The crystal system is trigonal.

a b c (Å): 2.9075 2.9075 24.1975
angles (deg): 90.00 90.00 120.00
Space group R3m (No. 160, hexagonal axes)
Unique sites:
Cr  0.0000  0.0000  0.0000 (multiplicity 3)
As  0.0000  0.0000  0.7444 (multiplicity 3)
W  0.0000  0.0000  0.2562 (multiplicity 3)
W  0.0000  0.0000  0.4976 (multiplicity 3)



A geometry-optimized CrAsW2 structure. Source: Alexandria via LeMat-Bulk, functional PBEsol.

Summary:
As for the total energy: -10.382 eV per atom. The crystal system is orthorhombic.

a b c (Å): 5.621 6.539 3.101
angles (deg): 90.00 90.00 90.00
Space group Cmmm (No. 65)
Unique sites:
Cr  0.000  0.000  0.000 (multiplicity 2)
As  0.000  0.500  0.000 (multiplicity 2)
W  0.250  0.250  0.500 (multiplicity 4)